RePPb2 (PBE-GGA, optimized geometry); D(E_F) = 4.5 states/eV/cell; space group = F-43m, No. 216; spin magnetization = 0.17 μB/atom; energy of formation = 1.08 eV/atom; energy = -20.95 eV/cell
1.0
1.749 1.075 4.472
0.875 4.681 1.240
-2.881 2.253 3.293
Re P Pb
1 1 2
Direct
0.500 0.500 0.500
0.250 0.250 0.250
0.000 0.000 0.000
0.750 0.750 0.750

***

TbCeTl (PBE-GGA, optimized geometry); D(E_F) = 8.4 states/eV/cell; E above lowest polymorph = 0.000 eV per atom; space group = P6_3/mmc, No. 194; spin magnetization = 0.59 μB/atom; energy of formation = -0.22 eV/atom; energy = -27.17 eV/cell
1.0
5.486 -0.002 0.000
-2.744 4.750 0.000
0.000 0.000 6.645
Tb Ce Tl
2 2 2
Direct
0.667 0.833 0.750
0.333 0.167 0.250
0.000 0.500 0.000
0.000 0.500 0.500
0.333 0.167 0.750
0.667 0.833 0.250

***

CePm3Pb2 (PBE-GGA, optimized geometry); D(E_F) = 22.6 states/eV/cell; E above lowest polymorph = 0.267 eV per atom; space group = Ibam, No. 72; spin magnetization = 0.39 μB/atom; energy of formation = -0.14 eV/atom; energy = -56.90 eV/cell
1.0
-5.520 -0.399 5.328
-1.746 -7.121 -2.342
8.526 0.962 3.366
Ce Pm Pb
2 6 4
Direct
0.000 0.500 0.000
0.000 0.000 0.000
0.500 0.250 0.000
0.500 0.750 0.000
0.790 0.040 0.580
0.210 0.460 0.420
0.210 0.960 0.420
0.790 0.540 0.580
0.541 0.357 0.714
0.827 0.143 0.286
0.173 0.857 0.714
0.459 0.643 0.286

***

Y3MgN (PBE-GGA, optimized geometry); D(E_F) = 6.3 states/eV/cell; E above lowest polymorph = 0.049 eV per atom; space group = Pmmm, No. 47; spin magnetization = 0.00 μB/atom; energy = -65.36 eV/cell
1.0
-0.896 -0.193 4.747
-6.694 -1.479 -1.323
1.513 -6.880 0.006
Y Mg N
6 2 2
Direct
0.492 0.739 0.421
0.492 0.218 0.920
0.492 0.218 0.420
0.992 0.979 0.170
0.992 0.979 0.670
0.492 0.739 0.921
0.992 0.479 0.170
0.992 0.479 0.670
0.492 0.979 0.670
0.492 0.979 0.170

***

Rb2CdAu2 (PBE-GGA, optimized geometry); D(E_F) = 2.2 states/eV/cell; E above lowest polymorph = 0.068 eV per atom; space group = I4/mmm, No. 139; spin magnetization = 0.00 μB/atom; energy of formation = -0.18 eV/atom; energy = -10.32 eV/cell
1.0
6.788 0.000 0.000
0.000 6.788 0.000
3.394 3.394 4.102
Au Rb Cd
2 2 1
Direct
0.336 0.336 0.329
0.664 0.664 0.671
0.750 0.250 0.500
0.250 0.750 0.500
0.000 0.000 0.000